This record from Alexandria via LeMat-Bulk describes a relaxed structure of CaY6Tm8. The functional is PBE.

## Properties
As for the total energy: -75.991 eV for the cell shown. The calculated formation energy is 0.57 eV per formula unit.

Unit cell a=6.180 b=6.180 c=14.731 alpha=77.89 beta=77.89 gamma=60.00
Atoms (fractional coordinates):
Ca1 0.000 0.000 0.000
Y1 0.931 0.592 0.206
Y2 0.729 0.069 0.794
Y3 0.408 0.729 0.794
Y4 0.592 0.271 0.206
Y5 0.271 0.931 0.206
Y6 0.069 0.408 0.794
Tm1 0.802 0.467 0.597
Tm2 0.866 0.198 0.403
Tm3 0.533 0.866 0.403
Tm4 0.333 0.333 0.000
Tm5 0.667 0.667 0.000
Tm6 0.467 0.134 0.597
Tm7 0.134 0.802 0.597
Tm8 0.198 0.533 0.403